No. 1
Here is a relaxed structure of LiPbI3 from Alexandria. Energies are from PBE-GGA.

a = 7.9775 Å, b = 4.7202 Å, c = 11.1274 Å
α = 90.00°, β = 91.80°, γ = 90.00°
With the nearest neighbours (Å) after each atom.
Sites, in units of the cell vectors:
Li  0.1034  0.2500  0.4033  4 I 2.77-2.84
Li  0.8966  0.7500  0.5967  4 I 2.77-2.84
Pb  0.4204  0.2500  0.8264  6 I 3.21-3.36
Pb  0.5796  0.7500  0.1736  6 I 3.21-3.36
I  0.0650  0.2500  0.6561  3 Li 2.79-2.84
I  0.2559  0.7500  0.9945  3 Pb 3.21-3.31
I  0.4359  0.2500  0.3394  1 Li 2.77
I  0.5641  0.7500  0.6606  1 Li 2.77
I  0.7441  0.2500  0.0055  3 Pb 3.21-3.31
I  0.9350  0.7500  0.3439  3 Li 2.79-2.84

Computed properties:
* DOS(E_F): 0.00 states/eV/f.u.
* total energy: -29.2 eV per cell
* magnetization: 0.000 μB per formula unit
* ΔE to the lowest computed polymorph: 0.000 kcal/mol of atoms
* calculated volume: 418.8 Å³/cell

No. 2
Here is a relaxed structure of LiPb2I2 from Alexandria. Energies are from PBE-GGA.

a = 6.3956 Å, b = 6.3956 Å, c = 6.3956 Å
α = 117.35°, β = 117.35°, γ = 94.66°
With the nearest neighbours (Å) after each atom.
Sites, in units of the cell vectors:
Li  0.0000  0.0000  0.0000  2 Pb 2.83
Pb  0.3262  0.3262  0.0000  1 Li 2.83, 1 Pb 3.01
Pb  0.6738  0.6738  0.0000  1 Li 2.83, 1 Pb 3.01
I  0.2500  0.7500  0.5000  4 Pb 3.39
I  0.7500  0.2500  0.5000  4 Pb 3.39

Computed properties:
* DOS(E_F): 1.92 states/eV/f.u.
* total energy: -13.5 eV per cell
* magnetization: 0.000 μB per formula unit
* ΔE to the lowest computed polymorph: 0.000 kcal/mol of atoms
* calculated volume: 191.7 Å³/cell

No. 3
Here is a relaxed structure of LiPbI3 from Alexandria. Energies are from PBE-GGA.

a = 5.5290 Å, b = 5.5290 Å, c = 5.5290 Å
α = 90.00°, β = 90.00°, γ = 90.00°
With the nearest neighbours (Å) after each atom.
Sites, in units of the cell vectors:
Li  0.0000  0.0000  0.0000  6 I 2.76
Pb  0.5000  0.5000  0.5000  12 I 3.91
I  0.0000  0.0000  0.5000  2 Li 2.76
I  0.0000  0.5000  0.0000  2 Li 2.76
I  0.5000  0.0000  0.0000  2 Li 2.76

Computed properties:
* DOS(E_F): 0.00 states/eV/f.u.
* total energy: -12.8 eV per cell
* magnetization: 0.000 μB per formula unit
* ΔE to the lowest computed polymorph: 8.087 kcal/mol of atoms
* calculated volume: 169.0 Å³/cell

No. 4
Here is a relaxed structure of Li3PbI from Alexandria. Energies are from PBE-GGA.

a = 5.2153 Å, b = 5.2153 Å, c = 5.2153 Å
α = 90.00°, β = 90.00°, γ = 90.00°
With the nearest neighbours (Å) after each atom.
Sites, in units of the cell vectors:
Li  0.0000  0.0000  0.5000  2 I 2.61
Li  0.0000  0.5000  0.0000  2 I 2.61
Li  0.5000  0.0000  0.0000  2 I 2.61
Pb  0.5000  0.5000  0.5000  12 Li 3.69
I  0.0000  0.0000  0.0000  6 Li 2.61

Computed properties:
* DOS(E_F): 2.41 states/eV/f.u.
* total energy: -12.2 eV per cell
* magnetization: 0.000 μB per formula unit
* ΔE to the lowest computed polymorph: 0.000 kcal/mol of atoms
* calculated volume: 141.9 Å³/cell

No. 5
Here is a relaxed structure of LiPb2I from Alexandria. Energies are from PBE-GGA.

a = 13.9798 Å, b = 13.9798 Å, c = 13.9798 Å
α = 161.79°, β = 161.79°, γ = 25.87°
With the nearest neighbours (Å) after each atom.
Sites, in units of the cell vectors:
Li  0.0000  0.0000  0.0000  4 I 3.13
Li  0.7500  0.2500  0.5000  4 I 3.13
Pb  0.1204  0.6250  0.9954  4 Pb 3.10-3.16
Pb  0.3750  0.3704  0.4954  4 Pb 3.10-3.16
Pb  0.6296  0.1250  0.0046  4 Pb 3.10-3.16
Pb  0.8750  0.8796  0.5046  4 Pb 3.10-3.16
I  0.2500  0.7500  0.5000  4 Li 3.13
I  0.5000  0.5000  0.0000  4 Li 3.13

Computed properties:
* DOS(E_F): 1.91 states/eV/f.u.
* total energy: -23.4 eV per cell
* magnetization: 0.000 μB per formula unit
* ΔE to the lowest computed polymorph: 0.000 kcal/mol of atoms
* calculated volume: 266.8 Å³/cell

No. 6
Here is a relaxed structure of LiPb2I from Alexandria. Energies are from PBE-GGA.

a = 5.5825 Å, b = 5.5825 Å, c = 5.5825 Å
α = 60.00°, β = 60.00°, γ = 60.00°
With the nearest neighbours (Å) after each atom.
Sites, in units of the cell vectors:
Li  0.0000  0.0000  0.0000  8 Pb 3.42
Pb  0.2500  0.2500  0.2500  4 Li 3.42, 4 I 3.42
Pb  0.7500  0.7500  0.7500  4 Li 3.42, 4 I 3.42
I  0.5000  0.5000  0.5000  8 Pb 3.42

Computed properties:
* DOS(E_F): 2.20 states/eV/f.u.
* total energy: -10.3 eV per cell
* magnetization: 0.000 μB per formula unit
* ΔE to the lowest computed polymorph: 7.821 kcal/mol of atoms
* calculated volume: 123.0 Å³/cell

No. 7
Here is a relaxed structure of LiPb2I5 from Alexandria. Energies are from PBE-GGA.

a = 8.0508 Å, b = 8.0508 Å, c = 15.3390 Å
α = 90.00°, β = 90.00°, γ = 132.91°
With the nearest neighbours (Å) after each atom.
Sites, in units of the cell vectors:
Li  0.2114  0.7886  0.7500  6 I 3.02-3.24
Li  0.7886  0.2114  0.2500  6 I 3.02-3.24
Pb  0.1486  0.8514  0.0619  6 I 3.15-3.44
Pb  0.1486  0.8514  0.4381  6 I 3.15-3.44
Pb  0.8514  0.1486  0.5619  6 I 3.15-3.44
Pb  0.8514  0.1486  0.9381  6 I 3.15-3.44
I  0.0545  0.9455  0.6239  1 Li 3.02, 2 Pb 3.15-3.17
I  0.0545  0.9455  0.8761  1 Li 3.02, 2 Pb 3.15-3.17
I  0.2601  0.7399  0.2500  2 Li 3.24, 2 Pb 3.32
I  0.3267  0.6733  0.5828  1 Li 3.08, 3 Pb 3.25-3.44
I  0.3267  0.6733  0.9172  1 Li 3.08, 3 Pb 3.25-3.44
I  0.6733  0.3267  0.0828  1 Li 3.08, 3 Pb 3.25-3.44
I  0.6733  0.3267  0.4172  1 Li 3.08, 3 Pb 3.25-3.44
I  0.7399  0.2601  0.7500  2 Li 3.24, 2 Pb 3.32
I  0.9455  0.0545  0.1239  1 Li 3.02, 2 Pb 3.15-3.17
I  0.9455  0.0545  0.3761  1 Li 3.02, 2 Pb 3.15-3.17

Computed properties:
* DOS(E_F): 0.00 states/eV/f.u.
* total energy: -45.8 eV per cell
* magnetization: 0.000 μB per formula unit
* ΔE to the lowest computed polymorph: 0.473 kcal/mol of atoms
* calculated volume: 728.2 Å³/cell

No. 8
Here is a relaxed structure of LiPbI3 from Alexandria. Energies are from PBE-GGA.

a = 6.3221 Å, b = 6.3221 Å, c = 6.3221 Å
α = 90.00°, β = 90.00°, γ = 90.00°
With the nearest neighbours (Å) after each atom.
Sites, in units of the cell vectors:
Li  0.0000  0.0000  0.0000  12 I 4.47
Pb  0.5000  0.5000  0.5000  6 I 3.16
I  0.0000  0.5000  0.5000  2 Pb 3.16
I  0.5000  0.0000  0.5000  2 Pb 3.16
I  0.5000  0.5000  0.0000  2 Pb 3.16

Computed properties:
* DOS(E_F): 0.00 states/eV/f.u.
* total energy: -12.9 eV per cell
* magnetization: 0.000 μB per formula unit
* ΔE to the lowest computed polymorph: 7.705 kcal/mol of atoms
* calculated volume: 252.7 Å³/cell

No. 9
Here is a relaxed structure of LiPb2I5 from Alexandria. Energies are from PBE-GGA.

a = 11.6356 Å, b = 7.8514 Å, c = 15.6165 Å
α = 90.00°, β = 110.63°, γ = 90.00°
With the nearest neighbours (Å) after each atom.
Sites, in units of the cell vectors:
Li  0.0000  0.0000  0.0000  6 I 2.96-3.23
Li  0.0000  0.5000  0.5000  6 I 2.96-3.23
Li  0.5000  0.0000  0.0000  6 I 2.96-3.22
Li  0.5000  0.5000  0.5000  6 I 2.96-3.22
Pb  0.0904  0.0031  0.3815  6 I 3.16-3.40
Pb  0.0904  0.4969  0.8815  6 I 3.16-3.40
Pb  0.4093  0.0036  0.6183  6 I 3.16-3.40
Pb  0.4093  0.4964  0.1183  6 I 3.16-3.40
Pb  0.5907  0.5036  0.8817  6 I 3.16-3.40
Pb  0.5907  0.9964  0.3817  6 I 3.16-3.40
Pb  0.9096  0.5031  0.1185  6 I 3.16-3.40
Pb  0.9096  0.9969  0.6185  6 I 3.16-3.40
I  0.0497  0.1480  0.1841  1 Li 2.96, 2 Pb 3.16-3.21
I  0.0497  0.3520  0.6841  1 Li 2.96, 2 Pb 3.16-3.21
I  0.1401  0.6843  0.0879  1 Li 3.02, 2 Pb 3.22-3.34
I  0.1401  0.8157  0.5879  1 Li 3.02, 2 Pb 3.22-3.34
I  0.2498  0.1774  0.9996  2 Li 3.22-3.23, 2 Pb 3.27-3.28
I  0.2498  0.3226  0.4996  2 Li 3.22-3.23, 2 Pb 3.27-3.28
I  0.3598  0.6845  0.9121  1 Li 3.02, 2 Pb 3.22-3.34
I  0.3598  0.8155  0.4121  1 Li 3.02, 2 Pb 3.22-3.34
I  0.4517  0.1477  0.8161  1 Li 2.96, 2 Pb 3.16-3.21
I  0.4517  0.3523  0.3161  1 Li 2.96, 2 Pb 3.16-3.21
I  0.5483  0.6477  0.6839  1 Li 2.96, 2 Pb 3.16-3.21
I  0.5483  0.8523  0.1839  1 Li 2.96, 2 Pb 3.16-3.21
I  0.6402  0.1845  0.5879  1 Li 3.02, 2 Pb 3.22-3.34
I  0.6402  0.3155  0.0879  1 Li 3.02, 2 Pb 3.22-3.34
I  0.7502  0.6774  0.5004  2 Li 3.22-3.23, 2 Pb 3.27-3.28
I  0.7502  0.8226  0.0004  2 Li 3.22-3.23, 2 Pb 3.27-3.28
I  0.8599  0.1843  0.4121  1 Li 3.02, 2 Pb 3.22-3.34
I  0.8599  0.3157  0.9121  1 Li 3.02, 2 Pb 3.22-3.34
I  0.9503  0.6480  0.3159  1 Li 2.96, 2 Pb 3.16-3.21
I  0.9503  0.8520  0.8159  1 Li 2.96, 2 Pb 3.16-3.21

Computed properties:
* DOS(E_F): 0.00 states/eV/f.u.
* total energy: -92.3 eV per cell
* magnetization: 0.000 μB per formula unit
* ΔE to the lowest computed polymorph: 0.000 kcal/mol of atoms
* calculated volume: 1335.1 Å³/cell

No. 10
Here is a relaxed structure of RbLiPbI4 from Alexandria. Energies are from PBE-GGA.

a = 7.7278 Å, b = 8.2621 Å, c = 9.9489 Å
α = 90.00°, β = 108.21°, γ = 90.00°
With the nearest neighbours (Å) after each atom.
Sites, in units of the cell vectors:
Rb  0.2347  0.2500  0.0531  6 I 3.57-3.95
Rb  0.7653  0.7500  0.9469  6 I 3.57-3.95
Li  0.2340  0.7500  0.3258  4 I 2.69-2.76
Li  0.7660  0.2500  0.6742  4 I 2.69-2.76
Pb  0.2196  0.2500  0.5514  6 I 3.17-3.40
Pb  0.7804  0.7500  0.4486  6 I 3.17-3.40
I  0.0105  0.5037  0.7185  1 Li 2.76
I  0.0105  0.9963  0.7185  1 Li 2.76
I  0.4467  0.7500  0.1534  1 Li 2.72
I  0.4667  0.7500  0.5917  1 Li 2.69
I  0.5333  0.2500  0.4083  1 Li 2.69
I  0.5533  0.2500  0.8466  1 Li 2.72
I  0.9895  0.0037  0.2815  1 Li 2.76
I  0.9895  0.4963  0.2815  1 Li 2.76

Computed properties:
* DOS(E_F): 0.00 states/eV/f.u.
* total energy: -39.8 eV per cell
* magnetization: 0.000 μB per formula unit
* calculated volume: 603.4 Å³/cell

No. 11
Here is a relaxed structure of Rb2LiPbI6 from Alexandria. Energies are from PBE-GGA.

a = 8.5595 Å, b = 8.5595 Å, c = 8.5595 Å
α = 60.00°, β = 60.00°, γ = 60.00°
With the nearest neighbours (Å) after each atom.
Sites, in units of the cell vectors:
Rb  0.2500  0.2500  0.2500  12 I 4.28
Rb  0.7500  0.7500  0.7500  12 I 4.28
Li  0.0000  0.0000  0.0000  6 I 2.94
Pb  0.5000  0.5000  0.5000  6 I 3.11
I  0.2430  0.2430  0.7570  1 Li 2.94, 1 Pb 3.11
I  0.2430  0.7570  0.2430  1 Li 2.94, 1 Pb 3.11
I  0.2430  0.7570  0.7570  1 Li 2.94, 1 Pb 3.11
I  0.7570  0.2430  0.2430  1 Li 2.94, 1 Pb 3.11
I  0.7570  0.2430  0.7570  1 Li 2.94, 1 Pb 3.11
I  0.7570  0.7570  0.2430  1 Li 2.94, 1 Pb 3.11

Computed properties:
* DOS(E_F): 7.85 states/eV/f.u.
* total energy: -26.2 eV per cell
* magnetization: 0.000 μB per formula unit
* calculated volume: 443.4 Å³/cell

no.,E_form (uncorrected) (eV/atom)
1,-0.861
2,-0.222
3,-0.510
4,-0.239
5,-0.205
6,0.134
7,-0.728
8,-0.526
9,-0.748
10,-1.018
11,-0.938